# Li2Si2NiO6 PBE with a Hubbard U relaxed
# * raw total energy: -6.549 eV per atom
# * total moment: 8.13 Bohr magnetons per cell
# * E above lowest polymorph: 0.038 eV per atom
data_Li2Si2NiO6
_cell_length_a 5.812
_cell_length_b 9.502
_cell_length_c 9.405
_cell_angle_alpha 90.00
_cell_angle_beta 91.78
_cell_angle_gamma 90.00
_symmetry_space_group_name_H-M 'C 1 2/c 1'
_symmetry_Int_Tables_number 15
loop_
_symmetry_equiv_pos_as_xyz
'x,y,z'
'-x,-y,-z'
'-x,y,-z+1/2'
'x,-y,z+1/2'
'x+1/2,y+1/2,z'
'-x+1/2,-y+1/2,-z'
'-x+1/2,y+1/2,-z+1/2'
'x+1/2,-y+1/2,z+1/2'
loop_
_atom_site_label
_atom_site_type_symbol
_atom_site_fract_x
_atom_site_fract_y
_atom_site_fract_z
Li1 Li 0.067 0.170 0.381
Si1 Si 0.168 0.471 0.368
Ni1 Ni 0.000 0.244 0.750
O1 O 0.000 0.383 0.250
O2 O 0.000 0.500 0.000
O3 O 0.129 0.140 0.587
O4 O 0.246 0.119 0.201